Entry 1:
Material: KCu8S6
Method: DFT, PBE
State: relaxed

Values from the calculation:
E   -4.1530 eV/atom

a b c (Å): 6.7181 6.7181 8.9372
angles (deg): 67.92 67.92 60.00
Last column: nearest neighbours and their distance in Å.
Positions (direct):
1 K 0.0000 0.0000 0.0000  6 S 3.25
2 Cu 0.8871 0.3806 0.5735  3 S 2.25-2.36, 1 Cu 2.44
3 Cu 0.8412 0.1129 0.4265  3 S 2.25-2.36, 1 Cu 2.44
4 Cu 0.6194 0.8412 0.4265  3 S 2.25-2.36, 1 Cu 2.44
5 Cu 0.4406 0.4406 0.6781  3 S 2.29
6 Cu 0.5594 0.5594 0.3219  3 S 2.29
7 Cu 0.3806 0.1588 0.5735  3 S 2.25-2.36, 1 Cu 2.44
8 Cu 0.1588 0.8871 0.5735  3 S 2.25-2.36, 1 Cu 2.44
9 Cu 0.1129 0.6194 0.4265  3 S 2.25-2.36, 1 Cu 2.44
10 S 0.9113 0.5630 0.2903  4 Cu 2.25-2.36
11 S 0.7646 0.0887 0.7097  4 Cu 2.25-2.36
12 S 0.4370 0.7646 0.7097  4 Cu 2.25-2.36
13 S 0.5630 0.2354 0.2903  4 Cu 2.25-2.36
14 S 0.2354 0.9113 0.2903  4 Cu 2.25-2.36
15 S 0.0887 0.4370 0.7097  4 Cu 2.25-2.36

=====

Entry 2:
Material: In2HgPd8
Method: DFT, PBE
State: relaxed

Values from the calculation:
Polymorph energy (0 for the lowest one)   43 meV per atom
E   -4.5884 eV/atom

a b c (Å): 4.1356 7.6716 7.4763
angles (deg): 120.87 106.06 90.00
Last column: nearest neighbours and their distance in Å.
Positions (direct):
1 In 0.1727 0.6727 0.3454  10 Pd 2.74-2.88
2 In 0.8273 0.3273 0.6546  10 Pd 2.74-2.88
3 Hg 0.5000 0.0000 0.0000  12 Pd 2.82-2.93
4 Pd 0.6640 0.9041 0.3280  3 In 2.77-2.81, 7 Pd 2.80-2.94, 1 Hg 2.82
5 Pd 0.3360 0.5760 0.6720  3 In 2.77-2.81, 7 Pd 2.80-2.94, 1 Hg 2.82
6 Pd 0.1626 0.1626 0.3252  8 Pd 2.80-2.87, 2 Hg 2.86, 2 In 2.88
7 Pd 0.0000 0.2698 0.0000  2 In 2.74, 6 Pd 2.86-2.87, 2 Hg 2.93
8 Pd 0.8374 0.8374 0.6748  8 Pd 2.80-2.87, 2 Hg 2.86, 2 In 2.88
9 Pd 0.6640 0.4240 0.3280  3 In 2.77-2.81, 7 Pd 2.80-2.94, 1 Hg 2.82
10 Pd 0.3360 0.0959 0.6720  3 In 2.77-2.81, 7 Pd 2.80-2.94, 1 Hg 2.82
11 Pd 0.0000 0.7302 0.0000  2 In 2.74, 6 Pd 2.86-2.87, 2 Hg 2.93

=====

Entry 3:
Material: RuI
Method: DFT, PBE
State: relaxed

Values from the calculation:
Polymorph energy (0 for the lowest one)   646 meV per atom
E   -4.5339 eV/atom

a b c (Å): 3.8070 3.8070 7.9860
angles (deg): 90.00 90.00 120.00
Last column: nearest neighbours and their distance in Å.
Positions (direct):
1 Ru 0.3333 0.6667 0.3718  4 I 2.55-2.70
2 Ru 0.6667 0.3333 0.8718  4 I 2.55-2.70
3 I 0.3333 0.6667 0.7102  4 Ru 2.55-2.70
4 I 0.6667 0.3333 0.2102  4 Ru 2.55-2.70

=====

Entry 4:
Material: La6Tb2PrY
Method: DFT, PBE
State: relaxed

Values from the calculation:
E   -4.8204 eV/atom

a b c (Å): 9.0355 7.2405 6.7449
angles (deg): 122.46 101.64 90.00
Last column: nearest neighbours and their distance in Å.
Positions (direct):
1 La 0.4310 0.6331 0.2662  5 La 3.54-3.81, 1 Pr 3.83
2 La 0.2009 0.0410 0.6378  1 La 3.22, 2 Tb 3.25-3.56, 1 Y 3.39
3 La 0.7991 0.4032 0.3622  1 La 3.22, 2 Tb 3.25-3.56, 1 Y 3.39
4 La 0.2009 0.5968 0.6378  1 La 3.22, 2 Tb 3.25-3.56, 1 Y 3.39
5 La 0.7991 0.9590 0.3622  1 La 3.22, 2 Tb 3.25-3.56, 1 Y 3.39
6 La 0.5690 0.3669 0.7338  5 La 3.54-3.81, 1 Pr 3.83
7 Tb 0.1646 0.0893 0.1787  1 Tb 3.18, 4 La 3.25-3.56, 1 Y 3.42
8 Tb 0.8354 0.9107 0.8213  1 Tb 3.18, 4 La 3.25-3.56, 1 Y 3.42
9 Pr 0.0000 0.5000 0.0000  10 La 3.66-3.99, 4 Tb 3.95
10 Y 0.5000 0.0000 0.0000  4 La 3.39, 2 Tb 3.42

=====

Entry 5:
Material: Li5HfS5
Method: DFT, PBE
State: relaxed

Values from the calculation:
E   -4.8969 eV/atom

a b c (Å): 5.0452 6.5212 7.2658
angles (deg): 107.59 90.00 112.76
Last column: nearest neighbours and their distance in Å.
Positions (direct):
1 Li 0.6962 0.3925 0.3245  4 S 2.43-2.55
2 Li 0.6902 0.3804 0.8661  4 S 2.46-2.58
3 Li 0.0000 0.0000 0.5000  4 S 2.43-2.66
4 Li 0.3098 0.6196 0.1339  4 S 2.46-2.58
5 Li 0.3038 0.6075 0.6755  4 S 2.43-2.55
6 Hf 0.0000 0.0000 0.0000  6 S 2.52-2.53
7 S 0.8516 0.7031 0.1786  5 Li 2.43-2.57, 1 Hf 2.53
8 S 0.8368 0.6736 0.6736  1 Hf 2.53, 5 Li 2.55-2.66
9 S 0.5000 0.0000 0.0000  2 Hf 2.52, 4 Li 2.74-2.76
10 S 0.1632 0.3264 0.3264  1 Hf 2.53, 5 Li 2.55-2.66
11 S 0.1484 0.2969 0.8214  5 Li 2.43-2.57, 1 Hf 2.53

=====

Entry 6:
Material: BaGeSb2
Method: DFT, PBE
State: relaxed

Values from the calculation:
E   -4.0663 eV/atom

a b c (Å): 6.9235 6.9474 11.5478
angles (deg): 92.58 90.00 90.00
Last column: nearest neighbours and their distance in Å.
Positions (direct):
1 Ba 0.2716 0.9685 0.3784  6 Sb 3.45-3.64, 2 Ge 3.78-3.85
2 Ba 0.7284 0.0315 0.6216  6 Sb 3.45-3.64, 2 Ge 3.78-3.85
3 Ba 0.2716 0.5315 0.1216  6 Sb 3.45-3.64, 2 Ge 3.78-3.85
4 Ba 0.7284 0.4685 0.8784  6 Sb 3.45-3.64, 2 Ge 3.78-3.85
5 Ge 0.1051 0.6368 0.6175  4 Sb 2.71-2.86
6 Ge 0.8949 0.3632 0.3825  4 Sb 2.71-2.86
7 Ge 0.1051 0.8632 0.8825  4 Sb 2.71-2.86
8 Ge 0.8949 0.1368 0.1175  4 Sb 2.71-2.86
9 Sb 0.7116 0.9640 0.9322  2 Ge 2.72-2.86
10 Sb 0.2884 0.0360 0.0678  2 Ge 2.72-2.86
11 Sb 0.7116 0.5360 0.5678  2 Ge 2.72-2.86
12 Sb 0.2884 0.4640 0.4322  2 Ge 2.72-2.86
13 Sb 0.7835 0.5224 0.1829  2 Ge 2.71-2.86
14 Sb 0.2165 0.4776 0.8171  2 Ge 2.71-2.86
15 Sb 0.7835 0.9776 0.3171  2 Ge 2.71-2.86
16 Sb 0.2165 0.0224 0.6829  2 Ge 2.71-2.86

=====

Entry 7:
Material: AcLaAu2
Method: DFT, PBE
State: relaxed

Values from the calculation:
Polymorph energy (0 for the lowest one)   102 meV per atom
E   -4.6099 eV/atom

a b c (Å): 4.3770 4.3770 8.1341
angles (deg): 74.39 74.39 60.00
Last column: nearest neighbours and their distance in Å.
Positions (direct):
1 Ac 0.6692 0.6692 0.9925  6 Au 3.20-3.27
2 La 0.4974 0.4974 0.5077  6 Au 3.10-3.17
3 Au 0.0869 0.0869 0.7392  3 La 3.10, 3 Ac 3.20
4 Au 0.2464 0.2464 0.2607  3 La 3.17, 3 Ac 3.27

=====

Entry 8:
Material: MnHgBr2
Method: DFT, PBE
State: relaxed

Values from the calculation:
Polymorph energy (0 for the lowest one)   388 meV per atom
E   -3.3840 eV/atom

a b c (Å): 3.9336 3.9336 9.2615
angles (deg): 90.00 90.00 121.77
Last column: nearest neighbours and their distance in Å.
Positions (direct):
1 Br 0.0000 0.0000 0.9261  2 Mn 2.55
2 Br 0.5000 0.5000 0.3086  2 Hg 2.75
3 Hg 0.0000 0.0000 0.5214  2 Br 2.75, 2 Mn 2.81
4 Mn 0.5000 0.5000 0.7439  2 Br 2.55, 2 Hg 2.81

=====

Entry 9:
Material: Pr2HoGa
Method: DFT, PBE
State: relaxed

Values from the calculation:
Polymorph energy (0 for the lowest one)   153 meV per atom
E   -4.3907 eV/atom

a b c (Å): 5.4627 5.4627 5.4627
angles (deg): 60.00 60.00 60.00
Last column: nearest neighbours and their distance in Å.
Positions (direct):
1 Pr 0.2500 0.2500 0.2500  4 Ga 3.35, 4 Ho 3.35
2 Pr 0.7500 0.7500 0.7500  4 Ho 3.35, 4 Ga 3.35
3 Ho 0.0000 0.0000 0.0000  8 Pr 3.35
4 Ga 0.5000 0.5000 0.5000  8 Pr 3.35

=====

Entry 10:
Material: CeNiSn2
Method: DFT, PBE
State: relaxed

Values from the calculation:
Polymorph energy (0 for the lowest one)   0 meV per atom
E   -5.4631 eV/atom

a b c (Å): 9.3623 9.3623 4.5616
angles (deg): 90.00 90.00 152.40
Last column: nearest neighbours and their distance in Å.
Positions (direct):
1 Ce 0.6103 0.3897 0.2500  10 Sn 3.37-3.62, 4 Ni 3.45
2 Ce 0.3897 0.6103 0.7500  10 Sn 3.37-3.62, 4 Ni 3.45
3 Ni 0.8184 0.1816 0.2500  5 Sn 2.46-2.59
4 Ni 0.1816 0.8184 0.7500  5 Sn 2.46-2.59
5 Sn 0.9537 0.0463 0.2500  1 Ni 2.46
6 Sn 0.0463 0.9537 0.7500  1 Ni 2.46
7 Sn 0.2491 0.7509 0.2500  4 Ni 2.56-2.59
8 Sn 0.7509 0.2491 0.7500  4 Ni 2.56-2.59

=====

Entry 11:
Material: NiSbTe2Mo
Method: DFT, PBE
State: relaxed

Values from the calculation:
Polymorph energy (0 for the lowest one)   0 meV per atom
E   -4.5907 eV/atom

a b c (Å): 5.1180 5.1180 4.7754
angles (deg): 90.00 90.00 90.00
Last column: nearest neighbours and their distance in Å.
Positions (direct):
1 Sb 0.0000 0.0000 0.5000  2 Ni 2.39
2 Mo 0.5000 0.5000 0.5000  8 Te 3.50, 4 Sb 3.62
3 Te 0.0000 0.5000 0.0000  2 Ni 2.56
4 Te 0.5000 0.0000 0.0000  2 Ni 2.56
5 Ni 0.0000 0.0000 0.0000  2 Sb 2.39, 4 Te 2.56

=====

Entry 12:
Material: Ga3SiGe
Method: DFT, PBE
State: relaxed

Values from the calculation:
Polymorph energy (0 for the lowest one)   0 meV per atom
E   -3.3377 eV/atom

a b c (Å): 4.8077 4.8077 4.8077
angles (deg): 90.00 90.00 90.00
Last column: nearest neighbours and their distance in Å.
Positions (direct):
1 Ge 0.5000 0.5000 0.5000  12 Ga 3.40
2 Si 0.0000 0.0000 0.0000  6 Ga 2.40
3 Ga 0.0000 0.5000 0.0000  2 Si 2.40
4 Ga 0.0000 0.0000 0.5000  2 Si 2.40
5 Ga 0.5000 0.0000 0.0000  2 Si 2.40